(1)
Material: Be2BiIr
Method: DFT, GGA-PBE
State: relaxed

Results
* total energy: -71.7 eV per cell

Cell: 6.2803 6.2803 6.2803 Å, 90.00 90.00 90.00°
Space group F-43m (No. 216)
One atom of each set of equivalent atoms:
Be1 0.0000 0.0000 0.0000 x4
Be2 0.2500 0.2500 0.2500 x4
Bi1 0.0000 0.0000 0.5000 x4
Ir1 0.2500 0.2500 0.7500 x4

=====

(2)
Material: Li3Sm3SiGe2
Method: DFT, GGA-PBE
State: relaxed

Results
* total energy: -40.4 eV per cell

Cell: 7.1899 7.1899 4.3113 Å, 90.00 90.00 120.00°
Space group P-62m (No. 189)
One atom of each set of equivalent atoms:
Li1 0.0000 0.7695 0.0000 x3
Sm1 0.0000 0.4203 0.5000 x3
Si1 0.0000 0.0000 0.5000 x1
Ge1 0.3333 0.6667 0.0000 x2

=====

(3)
Material: Gd3Sn2Pb5
Method: DFT, GGA-PBE
State: relaxed

Results
* energy above the most stable polymorph in this dataset: 0 meV/atom

Cell: 4.6481 25.9354 4.7097 Å, 90.00 90.00 90.00°
Space group Cmmm (No. 65)
One atom of each set of equivalent atoms:
Gd1 0.0000 0.0000 0.0000 x2
Gd2 0.0000 0.1912 0.0000 x4
Sn1 0.0000 0.2906 0.5000 x4
Pb1 0.0000 0.0995 0.5000 x4
Pb2 0.0000 0.4021 0.0000 x4
Pb3 0.0000 0.5000 0.5000 x2

=====

(4)
Material: Li2Zr2AlInPt2
Method: DFT, GGA-PBE
State: relaxed

Results
* total energy: -46.1 eV per cell

Cell: 4.5475 4.5475 6.4732 Å, 90.00 90.00 90.00°
Space group P-4m2 (No. 115)
One atom of each set of equivalent atoms:
Li1 0.0000 0.5000 0.2403 x2
Zr1 0.0000 0.0000 0.0000 x1
Zr2 0.5000 0.5000 0.5000 x1
Al1 0.5000 0.5000 0.0000 x1
In1 0.0000 0.0000 0.5000 x1
Pt1 0.0000 0.5000 0.7645 x2

=====

(5)
Material: P5Ir3Au
Method: DFT, GGA-PBE
State: relaxed

Results
* total energy: -55.1 eV per cell

Cell: 5.9590 5.9590 5.2210 Å, 90.00 90.00 120.00°
Space group P6/mmm (No. 191)
One atom of each set of equivalent atoms:
P1 0.0000 0.0000 0.0000 x1
P2 0.3333 0.6667 0.3004 x4
Ir1 0.0000 0.5000 0.0000 x3
Au1 0.0000 0.0000 0.5000 x1

=====

(6)
Material: Rb2Dy
Method: DFT, GGA-PBE
State: relaxed

Results
* total energy: -32.9 eV per cell

Cell: 10.9310 10.9310 10.9310 Å, 90.00 90.00 90.00°
Space group Fd-3m (No. 227, origin choice 2)
One atom of each set of equivalent atoms:
Rb1 0.0000 0.0000 0.0000 x16
Dy1 0.1250 0.1250 0.6250 x8

=====

(7)
Material: NdLuZn2Sn2
Method: DFT, GGA-PBE
State: relaxed

Results
* energy above the most stable polymorph in this dataset: 28 meV/atom

Cell: 4.5454 4.5454 15.8774 Å, 90.00 90.00 120.00°
Space group P6_3/mmc (No. 194)
One atom of each set of equivalent atoms:
Nd1 0.0000 0.0000 0.2500 x2
Lu1 0.0000 0.0000 0.0000 x2
Zn1 0.3333 0.6667 0.1543 x4
Sn1 0.3333 0.6667 0.6082 x4

=====

(8)
Material: NaAgTe2IrSe
Method: DFT, GGA-PBE
State: relaxed

Results
* total energy: -95.7 eV per cell

Cell: 4.0105 13.7135 10.3791 Å, 90.00 90.00 90.00°
Space group Cmcm (No. 63)
One atom of each set of equivalent atoms:
Na1 0.0000 0.2414 0.2500 x4
Ag1 0.0000 0.4385 0.7500 x4
Te1 0.0000 0.3670 0.5085 x8
Ir1 0.0000 0.0000 0.0000 x4
Se1 0.0000 0.0663 0.7500 x4

=====

(9)
Material: YCdNO
Method: DFT, GGA-PBE
State: relaxed

Results
* energy above the most stable polymorph in this dataset: 219 meV/atom

Cell: 3.8651 3.8651 8.0485 Å, 90.00 90.00 90.00°
Space group P4/nmm (No. 129, origin choice 2)
One atom of each set of equivalent atoms:
Y1 0.2500 0.2500 0.1378 x2
Cd1 0.2500 0.7500 0.5000 x2
N1 0.2500 0.2500 0.6776 x2
O1 0.2500 0.7500 0.0000 x2

=====

(10)
Material: Sr2LiH6Pt
Method: DFT, GGA-PBE
State: relaxed

Results
* energy above the most stable polymorph in this dataset: 0 meV/atom

Cell: 5.4339 5.4339 7.7043 Å, 90.00 90.00 90.00°
Space group P4/m (No. 83)
One atom of each set of equivalent atoms:
Sr1 0.0000 0.5000 0.2500 x4
Li1 0.0000 0.0000 0.0000 x1
Li2 0.5000 0.5000 0.5000 x1
H1 0.0000 0.0000 0.2597 x2
H2 0.2375 0.7573 0.5000 x4
H3 0.2588 0.2614 0.0000 x4
H4 0.5000 0.5000 0.2403 x2
Pt1 0.0000 0.0000 0.5000 x1
Pt2 0.5000 0.5000 0.0000 x1

=====

(11)
Material: CsBiPd
Method: DFT, GGA-PBE
State: relaxed

Results
* energy above the most stable polymorph in this dataset: 0 meV/atom

Cell: 5.0330 5.2895 8.5179 Å, 94.44 90.07 90.04°
Space group P-1 (No. 2)
One atom of each set of equivalent atoms:
Cs1 0.2502 0.2373 0.3339 x2
Bi1 0.2503 0.3254 0.8941 x2
Pd1 0.2496 0.8455 0.0047 x2

=====

(12)
Material: Rb2CdBiCl6
Method: DFT, GGA-PBE
State: relaxed

Results
* total energy: -124.0 eV per cell

Cell: 10.9365 10.9365 10.9365 Å, 90.00 90.00 90.00°
Space group Fm-3m (No. 225)
One atom of each set of equivalent atoms:
Rb1 0.2500 0.2500 0.2500 x8
Cd1 0.0000 0.0000 0.0000 x4
Bi1 0.0000 0.0000 0.5000 x4
Cl1 0.0000 0.0000 0.2483 x24

=====

(13)
Material: Pr2Tm2CCl5
Method: DFT, GGA-PBE
State: relaxed

Results
* total energy: -107.4 eV per cell

Cell: 17.1623 3.8210 8.2356 Å, 90.00 102.37 90.00°
Space group C2/m (No. 12)
One atom of each set of equivalent atoms:
Pr1 0.0023 0.0000 0.2856 x4
Tm1 0.1408 0.5000 0.5712 x4
C1 0.0000 0.5000 0.5000 x2
Cl1 0.0000 0.5000 0.0000 x2
Cl2 0.1698 0.0000 0.8041 x4
Cl3 0.1774 0.0000 0.3625 x4

=====

(14)
Material: PrErGa2
Method: DFT, GGA-PBE
State: relaxed

Results
* total energy: -35.5 eV per cell

Cell: 4.1169 4.4131 11.1127 Å, 90.00 90.00 90.00°
Space group Amm2 (No. 38)
One atom of each set of equivalent atoms:
Pr1 0.0000 0.0000 0.0000 x2
Er1 0.5000 0.0000 0.7212 x2
Ga1 0.0000 0.0000 0.2809 x2
Ga2 0.5000 0.0000 0.4288 x2

=====

(15)
Material: Hf2IrPd
Method: DFT, GGA-PBE
State: relaxed

Results
* energy above the most stable polymorph in this dataset: 373 meV/atom

Cell: 6.5070 6.5070 6.5070 Å, 90.00 90.00 90.00°
Space group F-43m (No. 216)
One atom of each set of equivalent atoms:
Hf1 0.0000 0.0000 0.0000 x4
Hf2 0.2500 0.2500 0.2500 x4
Ir1 0.2500 0.2500 0.7500 x4
Pd1 0.0000 0.0000 0.5000 x4

=====

(16)
Material: NdThU
Method: DFT, GGA-PBE
State: relaxed

Results
* energy above the most stable polymorph in this dataset: 0 meV/atom

Cell: 7.4449 7.4449 7.4449 Å, 90.00 90.00 90.00°
Space group F-43m (No. 216)
One atom of each set of equivalent atoms:
Nd1 0.0000 0.0000 0.0000 x4
Th1 0.0000 0.0000 0.5000 x4
U1 0.2500 0.2500 0.2500 x4

=====

(17)
Material: TbTe2
Method: DFT, GGA-PBE
State: relaxed

Results
* total energy: -41.2 eV per cell

Cell: 4.4551 4.4551 18.9830 Å, 90.00 90.00 120.00°
Space group R3m (No. 160, hexagonal axes)
One atom of each set of equivalent atoms:
Tb1 0.0000 0.0000 0.0000 x3
Te1 0.0000 0.0000 0.2412 x3
Te2 0.0000 0.0000 0.4210 x3

=====

(18)
Material: MgTlNiHg
Method: DFT, GGA-PBE
State: relaxed

Results
* energy above the most stable polymorph in this dataset: 64 meV/atom

Cell: 6.8127 6.8127 6.8127 Å, 90.00 90.00 90.00°
Space group F-43m (No. 216)
One atom of each set of equivalent atoms:
Mg1 0.0000 0.0000 0.0000 x4
Tl1 0.0000 0.0000 0.5000 x4
Ni1 0.2500 0.2500 0.7500 x4
Hg1 0.2500 0.2500 0.2500 x4

=====

(19)
Material: Th2CdGa4
Method: DFT, GGA-PBE
State: relaxed

Results
* total energy: -58.3 eV per cell

Cell: 6.9292 6.9292 7.1037 Å, 90.00 90.00 90.00°
Space group I4/mmm (No. 139)
One atom of each set of equivalent atoms:
Th1 0.0000 0.5000 0.2500 x4
Cd1 0.0000 0.0000 0.0000 x2
Ga1 0.1921 0.1921 0.5000 x8

=====

(20)
Material: Er2CoCu
Method: DFT, GGA-PBE
State: relaxed

Results
* total energy: -41.9 eV per cell

Cell: 4.2269 5.3867 6.9531 Å, 90.00 90.00 90.00°
Space group Pmc2_1 (No. 26)
One atom of each set of equivalent atoms:
Er1 0.0000 0.1070 0.0000 x2
Er2 0.5000 0.3768 0.3616 x2
Co1 0.5000 0.1209 0.7181 x2
Cu1 0.0000 0.3780 0.6492 x2

=====

(21)
Material: Sm5Mg
Method: DFT, GGA-PBE
State: relaxed

Results
* energy above the most stable polymorph in this dataset: 391 meV/atom

Cell: 6.5699 6.5699 5.7714 Å, 90.00 90.00 120.00°
Space group P6/mmm (No. 191)
One atom of each set of equivalent atoms:
Sm1 0.0000 0.5000 0.0000 x3
Sm2 0.3333 0.6667 0.5000 x2
Mg1 0.0000 0.0000 0.5000 x1

=====

(22)
Material: LiZr2In2Pd2Au
Method: DFT, GGA-PBE
State: relaxed

Results
* total energy: -42.5 eV per cell

Cell: 4.6974 4.6974 6.6890 Å, 90.00 90.00 90.00°
Space group P-4m2 (No. 115)
One atom of each set of equivalent atoms:
Li1 0.0000 0.0000 0.0000 x1
Zr1 0.0000 0.5000 0.2529 x2
In1 0.0000 0.5000 0.7611 x2
Pd1 0.0000 0.0000 0.5000 x1
Pd2 0.5000 0.5000 0.0000 x1
Au1 0.5000 0.5000 0.5000 x1

=====

(23)
Material: RbLuAgSe3
Method: DFT, GGA-PBE
State: relaxed

Results
* total energy: -101.5 eV per cell

Cell: 4.0529 15.7574 10.6300 Å, 90.00 90.00 90.00°
Space group Cmcm (No. 63)
One atom of each set of equivalent atoms:
Rb1 0.0000 0.2477 0.2500 x4
Lu1 0.0000 0.0000 0.0000 x4
Ag1 0.0000 0.4633 0.7500 x4
Se1 0.0000 0.0710 0.7500 x4
Se2 0.0000 0.3769 0.5417 x8

=====

(24)
Material: BaTcAu2
Method: DFT, GGA-PBE
State: relaxed

Results
* total energy: -65.9 eV per cell

Cell: 7.0204 7.0204 7.0204 Å, 90.00 90.00 90.00°
Space group F-43m (No. 216)
One atom of each set of equivalent atoms:
Ba1 0.0000 0.0000 0.0000 x4
Tc1 0.2500 0.2500 0.7500 x4
Au1 0.0000 0.0000 0.5000 x4
Au2 0.2500 0.2500 0.2500 x4

=====

(25)
Material: LuZnFeRe
Method: DFT, GGA-PBE
State: relaxed

Results
* energy above the most stable polymorph in this dataset: 0 meV/atom

Cell: 6.3728 6.3728 6.3728 Å, 90.00 90.00 90.00°
Space group F-43m (No. 216)
One atom of each set of equivalent atoms:
Lu1 0.0000 0.0000 0.0000 x4
Zn1 0.2500 0.2500 0.2500 x4
Fe1 0.0000 0.0000 0.5000 x4
Re1 0.2500 0.2500 0.7500 x4